Entry A
# Ho6Co2Pt PBE optimized geometry
data_Ho6Co2Pt
_space_group_name_H-M_alt 'I m m m'
_space_group_IT_number 71
_space_group_name_Hall '-I 2 2'
_cell_length_a 9.240
_cell_length_b 9.338
_cell_length_c 9.617
_cell_angle_alpha 90.00
_cell_angle_beta 90.00
_cell_angle_gamma 90.00
loop_
_atom_site_label
_atom_site_fract_x
_atom_site_fract_y
_atom_site_fract_z
Ho1 0.000 0.186 0.174
Ho2 0.179 0.228 0.500
Ho3 0.189 0.500 0.253
Co1 0.000 0.000 0.385
Co2 0.163 0.000 0.000
Pt1 0.000 0.500 0.000
Pt2 0.000 0.500 0.500
# - DOS at the Fermi energy: 36.8 states/eV per cell



Entry B
# Ho6Co2Pt PBE optimized geometry
data_Ho6Co2Pt
_space_group_name_H-M_alt 'P 1 21/c 1'
_space_group_IT_number 14
_space_group_name_Hall '-P 2ybc'
_cell_length_a 6.459
_cell_length_b 7.017
_cell_length_c 11.606
_cell_angle_alpha 90.00
_cell_angle_beta 120.93
_cell_angle_gamma 90.00
loop_
_atom_site_label
_atom_site_fract_x
_atom_site_fract_y
_atom_site_fract_z
Ho1 0.079 0.182 0.424
Ho2 0.228 0.668 0.415
Ho3 0.414 0.062 0.244
Co1 0.190 0.112 0.736
Pt1 0.500 0.000 0.500
# - DOS at the Fermi energy: 15.4 states/eV per cell



Short version: entry B is the least stable of them.



Entry A
# Ho4CoPt PBE optimized geometry
data_Ho4CoPt
_space_group_name_H-M_alt 'I 41 m d'
_space_group_IT_number 109
_space_group_name_Hall 'I 4bw -2'
_cell_length_a 9.131
_cell_length_b 9.131
_cell_length_c 8.091
_cell_angle_alpha 90.00
_cell_angle_beta 90.00
_cell_angle_gamma 90.00
loop_
_atom_site_label
_atom_site_fract_x
_atom_site_fract_y
_atom_site_fract_z
Ho1 0.000 0.296 0.000
Ho2 0.000 0.305 0.474
Co1 0.000 0.000 0.985
Pt1 0.000 0.000 0.490
# - DOS at the Fermi energy: 14.4 states/eV per cell



Entry B
# Ho4CoPt PBE optimized geometry
data_Ho4CoPt
_space_group_name_H-M_alt 'C 1 2/c 1'
_space_group_IT_number 15
_space_group_name_Hall '-C 2yc'
_cell_length_a 8.755
_cell_length_b 13.083
_cell_length_c 6.145
_cell_angle_alpha 90.00
_cell_angle_beta 123.46
_cell_angle_gamma 90.00
loop_
_atom_site_label
_atom_site_fract_x
_atom_site_fract_y
_atom_site_fract_z
Ho1 0.126 0.179 0.099
Ho2 0.209 0.440 0.282
Co1 0.000 0.003 0.750
Pt1 0.000 0.363 0.750
# - DOS at the Fermi energy: 28.0 states/eV per cell



Short version: entry A is the least stable of them.



Entry A
# HoPuCo PBE optimized geometry
data_HoPuCo
_space_group_name_H-M_alt 'P 1 21/c 1'
_space_group_IT_number 14
_space_group_name_Hall '-P 2ybc'
_cell_length_a 6.859
_cell_length_b 5.735
_cell_length_c 7.000
_cell_angle_alpha 90.00
_cell_angle_beta 107.03
_cell_angle_gamma 90.00
loop_
_atom_site_label
_atom_site_fract_x
_atom_site_fract_y
_atom_site_fract_z
Ho1 0.139 0.140 0.361
Pu1 0.412 0.666 0.306
Co1 0.159 0.619 0.510
# - DOS at the Fermi energy: 29.2 states/eV per cell



Entry B
# HoPuCo PBE optimized geometry
data_HoPuCo
_space_group_name_H-M_alt 'F -4 3 m'
_space_group_IT_number 216
_space_group_name_Hall 'F -4 2 3'
_cell_length_a 6.564
_cell_length_b 6.564
_cell_length_c 6.564
_cell_angle_alpha 90.00
_cell_angle_beta 90.00
_cell_angle_gamma 90.00
loop_
_atom_site_label
_atom_site_fract_x
_atom_site_fract_y
_atom_site_fract_z
Ho1 0.000 0.000 0.000
Pu1 0.000 0.000 0.500
Co1 0.250 0.250 0.750
# - DOS at the Fermi energy: 37.6 states/eV per cell



Short version: entry B is the least stable of them.



Entry A
# HoPuCo PBE optimized geometry
data_HoPuCo
_space_group_name_H-M_alt 'I 4 m m'
_space_group_IT_number 107
_space_group_name_Hall 'I 4 -2'
_cell_length_a 3.326
_cell_length_b 3.326
_cell_length_c 12.087
_cell_angle_alpha 90.00
_cell_angle_beta 90.00
_cell_angle_gamma 90.00
loop_
_atom_site_label
_atom_site_fract_x
_atom_site_fract_y
_atom_site_fract_z
Ho1 0.000 0.000 0.000
Pu1 0.000 0.000 0.268
Co1 0.000 0.000 0.636
# - DOS at the Fermi energy: 18.9 states/eV per cell



Entry B
# HoPuCo PBE optimized geometry
data_HoPuCo
_space_group_name_H-M_alt 'P n m a'
_space_group_IT_number 62
_space_group_name_Hall '-P 2ac 2n'
_cell_length_a 6.803
_cell_length_b 3.345
_cell_length_c 10.128
_cell_angle_alpha 90.00
_cell_angle_beta 90.00
_cell_angle_gamma 90.00
loop_
_atom_site_label
_atom_site_fract_x
_atom_site_fract_y
_atom_site_fract_z
Ho1 0.106 0.250 0.123
Pu1 0.078 0.250 0.439
Co1 0.163 0.250 0.768
# - DOS at the Fermi energy: 20.3 states/eV per cell



Entry C
# HoPuCo PBE optimized geometry
data_HoPuCo
_space_group_name_H-M_alt 'P -6 m 2'
_space_group_IT_number 187
_space_group_name_Hall 'P -6 2'
_cell_length_a 4.2012
_cell_length_b 4.2012
_cell_length_c 4.4468
_cell_angle_alpha 90.00
_cell_angle_beta 90.00
_cell_angle_gamma 120.00
loop_
_atom_site_label
_atom_site_fract_x
_atom_site_fract_y
_atom_site_fract_z
Ho1 0.0000 0.0000 0.0000
Pu1 0.3333 0.6667 0.5000
Co1 0.6667 0.3333 0.5000
# - DOS at the Fermi energy: 7.2 states/eV per cell



Short version: entry C is the least stable of them.